# 1
DFT (GGA-PBE) results for crystalline TbSc3Cu2 at its relaxed geometry.

Cell and atoms, written as POSCAR:
```
TbSc3Cu2
1.0
3.4600 0.0000 0.0000
0.0000 9.0639 0.0000
0.0000 0.0000 8.2647
Tb Sc Cu
2 6 4
Cartesian
0.0000 0.7511 0.0000
0.0000 8.3128 4.1323
0.0000 2.6858 5.3273
0.0000 6.3781 1.1949
1.7300 1.9789 2.6823
1.7300 3.8799 8.0363
1.7300 5.1840 3.9040
1.7300 7.0849 6.8146
0.0000 3.8608 2.1075
0.0000 5.2030 6.2398
1.7300 0.7540 5.9121
1.7300 8.3099 1.7798
```

Properties
Magnetization   0.986 μB/cell
Energy of formation   -0.124 eV/atom



# 2
DFT (GGA-PBE) results for crystalline KCa2MgMn at its relaxed geometry.

Cell and atoms, written as POSCAR:
```
KCa2MgMn
1.0
6.1805 0.0000 0.0000
0.0000 6.1805 0.0000
0.0000 0.0000 5.3268
K Ca Mg Mn
1 2 1 1
Cartesian
0.0000 0.0000 0.0000
0.0000 3.0903 2.6634
3.0903 0.0000 2.6634
3.0903 3.0903 2.6634
3.0903 3.0903 0.0000
```

Properties
Magnetization   4.332 μB/cell
Energy of formation   0.577 eV/atom



# 3
DFT (GGA-PBE) results for crystalline V2SiW at its relaxed geometry.

Cell and atoms, written as POSCAR:
```
V2SiW
1.0
3.1869 0.0000 0.0000
0.0000 3.1869 0.0000
0.0000 0.0000 5.4770
V Si W
2 1 1
Cartesian
0.0000 0.0000 1.2809
0.0000 0.0000 4.1961
1.5934 1.5934 0.0000
1.5934 1.5934 2.7385
```

Properties
Magnetization   0.000 μB/cell
E_form (uncorrected)   -0.269 eV per atom



# 4
DFT (GGA-PBE) results for crystalline Pr2Er2TmTh2 at its relaxed geometry.

Cell and atoms, written as POSCAR:
```
Pr2Er2TmTh2
1.0
5.8030 -1.7271 0.0000
5.8030 1.7271 0.0000
-2.4384 0.0000 11.6134
Pr Er Tm Th
2 2 1 2
Cartesian
0.4004 0.0000 3.2414
8.7671 0.0000 8.3720
0.2615 0.0000 10.1303
8.9060 0.0000 1.4832
5.8030 0.0000 0.0000
0.3263 0.0000 6.5803
8.8413 0.0000 5.0331
```

Properties
Magnetization   0.002 μB/cell
Energy of formation   0.170 eV/atom



| no. | final energy (Ry per atom) |
| --- | --- |
| 1 | -0.399 |
| 2 | -0.191 |
| 3 | -0.693 |
| 4 | -0.386 |